Record 1
# RbLa2GeO5

An optimized crystal structure of RbLa2GeO5 (PBE, Alexandria).

Values from the calculation:
Formation energy from raw total energies = -2.3593 eV per atom
V = 294.2 Å³ per cell
Raw total energy = -6.83 eV/atom

Unit cell a=5.979 b=7.015 c=7.015 alpha=90.00 beta=90.00 gamma=90.00
Each line ends with the local moment (μB).
Element x y z (fractional)
La (0.500, 0.681, 0.181)  0.04
O (0.500, 0.000, 0.000)  0.00
O (0.755, 0.632, 0.868)  0.11
O (0.245, 0.132, 0.632)  0.11
Rb (0.000, 0.000, 0.000)  0.01
La (0.500, 0.819, 0.681)  0.04
O (0.755, 0.368, 0.132)  0.11
La (0.500, 0.319, 0.819)  0.04
O (0.500, 0.500, 0.500)  0.00
Rb (0.000, 0.500, 0.500)  0.01
Ge (0.000, 0.000, 0.500)  0.22
O (0.755, 0.868, 0.368)  0.11
O (0.245, 0.632, 0.868)  0.11
Ge (0.000, 0.500, 0.000)  0.22
O (0.245, 0.868, 0.368)  0.11
O (0.245, 0.368, 0.132)  0.11
La (0.500, 0.181, 0.319)  0.04
O (0.755, 0.132, 0.632)  0.11


Record 2
# La2ReGeO

An optimized crystal structure of La2ReGeO (PBE, Alexandria).

Values from the calculation:
Formation energy from raw total energies = 0.4196 eV per atom
V = 147.6 Å³ per cell
Raw total energy = -5.96 eV/atom

Unit cell a=5.717 b=4.516 c=5.717 alpha=90.00 beta=90.00 gamma=90.00
Each line ends with the local moment (μB).
Element x y z (fractional)
La (0.500, 0.000, 0.000)  -0.04
Re (0.000, 0.500, 0.000)  0.66
Ge (0.000, 0.000, 0.000)  0.00
La (0.000, 0.000, 0.500)  -0.03
O (0.500, 0.500, 0.500)  0.17


Record 3
# LaGeRhO

An optimized crystal structure of LaGeRhO (PBE, Alexandria).

Values from the calculation:
Formation energy from raw total energies = -1.9375 eV per atom
V = 150.0 Å³ per cell
Raw total energy = -7.40 eV/atom

Unit cell a=4.152 b=4.152 c=8.700 alpha=90.00 beta=90.00 gamma=90.00
Element x y z (fractional)
Rh (0.000, 0.000, 0.500)
Ge (0.500, 0.000, 0.651)
Ge (0.000, 0.500, 0.349)
Rh (0.500, 0.500, 0.500)
O (0.000, 0.000, 0.000)
La (0.000, 0.500, 0.864)
O (0.500, 0.500, 0.000)
La (0.500, 0.000, 0.136)


Record 4
# LaGeRuO

An optimized crystal structure of LaGeRuO (PBE, Alexandria).

Values from the calculation:
Formation energy from raw total energies = -1.7089 eV per atom
V = 150.6 Å³ per cell
Raw total energy = -7.65 eV/atom

Unit cell a=4.264 b=4.264 c=8.287 alpha=90.00 beta=90.00 gamma=90.00
Element x y z (fractional)
Ge (0.500, 0.000, 0.138)
O (0.000, 0.000, 0.500)
Ge (0.000, 0.500, 0.862)
La (0.000, 0.500, 0.362)
Ru (0.000, 0.000, 0.000)
O (0.500, 0.500, 0.500)
Ru (0.500, 0.500, 0.000)
La (0.500, 0.000, 0.638)


Record 5
# LaGe2SbO8

An optimized crystal structure of LaGe2SbO8 (PBE, Alexandria).

Values from the calculation:
Formation energy from raw total energies = -1.7772 eV per atom
V = 161.4 Å³ per cell
Raw total energy = -6.61 eV/atom

Unit cell a=5.962 b=5.962 c=5.962 alpha=106.23 beta=106.23 gamma=116.18
Element x y z (fractional)
Sb (0.000, 0.000, 0.000)
O (0.377, 0.073, 0.304)
O (0.769, 0.073, 0.696)
O (0.537, 0.706, 0.830)
O (0.876, 0.706, 0.170)
O (0.294, 0.124, 0.830)
Ge (0.750, 0.250, 0.500)
Ge (0.500, 0.500, 0.000)
O (0.927, 0.231, 0.304)
La (0.250, 0.750, 0.500)
O (0.927, 0.623, 0.696)
O (0.294, 0.463, 0.170)


Record 6
# La3Zn3Ge2SbO14

An optimized crystal structure of La3Zn3Ge2SbO14 (PBE, Alexandria).

Values from the calculation:
Formation energy from raw total energies = -2.2295 eV per atom
V = 325.0 Å³ per cell
Raw total energy = -6.64 eV/atom

Unit cell a=8.423 b=8.423 c=5.289 alpha=90.00 beta=90.00 gamma=120.00
Element x y z (fractional)
Sb (0.000, 0.000, 0.000)
Zn (0.761, 0.000, 0.500)
Zn (0.239, 0.239, 0.500)
Ge (0.667, 0.333, 0.448)
O (0.526, 0.852, 0.702)
La (0.000, 0.419, 0.000)
O (0.326, 0.474, 0.702)
O (0.083, 0.224, 0.219)
O (0.148, 0.674, 0.702)
O (0.142, 0.917, 0.219)
O (0.776, 0.858, 0.219)
O (0.474, 0.326, 0.298)
O (0.674, 0.148, 0.298)
O (0.858, 0.776, 0.781)
O (0.333, 0.667, 0.218)
La (0.419, 0.000, 0.000)
La (0.581, 0.581, 0.000)
O (0.667, 0.333, 0.782)
O (0.852, 0.526, 0.298)
Ge (0.333, 0.667, 0.552)
Zn (0.000, 0.761, 0.500)
O (0.224, 0.083, 0.781)
O (0.917, 0.142, 0.781)


Record 7
# La2Sc4Ge3O2

An optimized crystal structure of La2Sc4Ge3O2 (PBE, Alexandria).

Values from the calculation:
Formation energy from raw total energies = -1.6619 eV per atom
V = 224.3 Å³ per cell
Raw total energy = -7.02 eV/atom

Unit cell a=4.341 b=4.341 c=12.293 alpha=100.17 beta=100.17 gamma=90.00
Each line ends with the local moment (μB).
Element x y z (fractional)
O (0.584, 0.584, 0.169)  0.00
Ge (0.837, 0.837, 0.674)  -0.01
Sc (0.924, 0.424, 0.847)  0.06
O (0.416, 0.416, 0.831)  0.00
La (0.695, 0.695, 0.389)  0.18
Ge (0.000, 0.000, 0.000)  -0.01
La (0.305, 0.305, 0.611)  0.18
Ge (0.163, 0.163, 0.326)  -0.01
Sc (0.076, 0.576, 0.153)  0.06
Sc (0.576, 0.076, 0.153)  0.06
Sc (0.424, 0.924, 0.847)  0.06


Record 8
# LaSiGeO6

An optimized crystal structure of LaSiGeO6 (PBE, Alexandria).

Values from the calculation:
Formation energy from raw total energies = -2.3538 eV per atom
V = 109.9 Å³ per cell
Raw total energy = -7.32 eV/atom

Unit cell a=4.929 b=4.929 c=5.224 alpha=90.00 beta=90.00 gamma=60.00
Each line ends with the local moment (μB).
Element x y z (fractional)
Ge (0.667, 0.667, 0.500)  -0.01
La (0.000, 0.000, 0.000)  0.00
O (0.613, 0.370, 0.698)  0.15
Si (0.333, 0.333, 0.500)  -0.01
O (0.370, 0.613, 0.302)  0.15
O (0.017, 0.370, 0.302)  0.15
O (0.017, 0.613, 0.698)  0.15
O (0.613, 0.017, 0.302)  0.15
O (0.370, 0.017, 0.698)  0.15


Record 9
# La2Sm4Ge3O2

An optimized crystal structure of La2Sm4Ge3O2 (PBE, Alexandria).

Values from the calculation:
Formation energy from raw total energies = -1.5479 eV per atom
V = 273.3 Å³ per cell
Raw total energy = -6.32 eV/atom

Unit cell a=4.700 b=4.700 c=12.813 alpha=100.57 beta=100.57 gamma=90.00
Element x y z (fractional)
O (0.598, 0.598, 0.195)
O (0.402, 0.402, 0.805)
Sm (0.079, 0.579, 0.157)
La (0.303, 0.303, 0.607)
Ge (0.000, 0.000, 0.000)
Ge (0.828, 0.828, 0.655)
La (0.697, 0.697, 0.393)
Sm (0.579, 0.079, 0.157)
Ge (0.172, 0.172, 0.345)
Sm (0.921, 0.421, 0.843)
Sm (0.421, 0.921, 0.843)


Record 10
# La4SnGeO

An optimized crystal structure of La4SnGeO (PBE, Alexandria).

Values from the calculation:
Formation energy from raw total energies = -1.3066 eV per atom
V = 401.7 Å³ per cell
Raw total energy = -6.06 eV/atom

Unit cell a=6.710 b=6.750 c=9.482 alpha=90.00 beta=110.72 gamma=90.00
Each line ends with the local moment (μB).
Element x y z (fractional)
La (0.500, 0.500, 0.500)  0.05
La (0.940, 0.250, 0.879)  0.13
La (0.577, 0.250, 0.154)  0.06
La (0.000, 0.000, 0.500)  0.05
La (0.500, 0.000, 0.500)  0.05
La (0.000, 0.500, 0.500)  0.05
La (0.423, 0.750, 0.846)  0.06
Sn (0.611, 0.750, 0.222)  -0.01
Ge (0.883, 0.750, 0.766)  -0.02
La (0.060, 0.750, 0.121)  0.13
O (0.711, 0.250, 0.422)  0.01
Ge (0.117, 0.250, 0.234)  -0.02
O (0.289, 0.750, 0.578)  0.01
Sn (0.389, 0.250, 0.778)  -0.01


Record 11
# La4Tb2Ge3O2

An optimized crystal structure of La4Tb2Ge3O2 (PBE, Alexandria).

Values from the calculation:
Formation energy from raw total energies = -1.4851 eV per atom
V = 279.4 Å³ per cell
Raw total energy = -6.28 eV/atom

Unit cell a=4.777 b=4.777 c=12.700 alpha=100.84 beta=100.84 gamma=90.00
Element x y z (fractional)
Ge (0.178, 0.178, 0.355)
La (0.417, 0.917, 0.834)
La (0.583, 0.083, 0.166)
La (0.083, 0.583, 0.166)
Tb (0.703, 0.703, 0.405)
Tb (0.297, 0.297, 0.595)
Ge (0.000, 0.000, 0.000)
Ge (0.822, 0.822, 0.645)
O (0.610, 0.610, 0.219)
La (0.917, 0.417, 0.834)
O (0.390, 0.390, 0.781)


Record 12
# LaGe2TeO8

An optimized crystal structure of LaGe2TeO8 (PBE, Alexandria).

Values from the calculation:
Formation energy from raw total energies = -1.6471 eV per atom
V = 186.8 Å³ per cell
Raw total energy = -6.39 eV/atom

Unit cell a=5.544 b=5.544 c=7.020 alpha=90.00 beta=90.00 gamma=120.00
Element x y z (fractional)
O (0.843, 0.686, 0.198)
Ge (0.667, 0.333, 0.277)
O (0.157, 0.314, 0.802)
O (0.667, 0.333, 0.521)
La (0.000, 0.000, 0.500)
Ge (0.333, 0.667, 0.723)
O (0.157, 0.843, 0.802)
O (0.843, 0.157, 0.198)
O (0.333, 0.667, 0.479)
O (0.686, 0.843, 0.802)
Te (0.000, 0.000, 0.000)
O (0.314, 0.157, 0.198)


Record 13
# LaThGe2O8

An optimized crystal structure of LaThGe2O8 (PBE, Alexandria).

Values from the calculation:
Formation energy from raw total energies = -2.4943 eV per atom
V = 179.8 Å³ per cell
Raw total energy = -7.60 eV/atom

Unit cell a=6.169 b=6.169 c=6.169 alpha=107.13 beta=107.13 gamma=114.25
Element x y z (fractional)
O (0.761, 0.077, 0.684)
O (0.319, 0.496, 0.177)
O (0.319, 0.142, 0.823)
Ge (0.750, 0.250, 0.500)
Th (0.000, 0.000, 0.000)
O (0.504, 0.681, 0.823)
La (0.250, 0.750, 0.500)
O (0.858, 0.681, 0.177)
O (0.923, 0.607, 0.684)
Ge (0.500, 0.500, 0.000)
O (0.923, 0.239, 0.316)
O (0.393, 0.077, 0.316)


Record 14
# La4TlGeO

An optimized crystal structure of La4TlGeO (PBE, Alexandria).

Values from the calculation:
Formation energy from raw total energies = -1.1649 eV per atom
V = 404.2 Å³ per cell
Raw total energy = -5.69 eV/atom

Unit cell a=6.827 b=6.851 c=9.292 alpha=90.00 beta=111.55 gamma=90.00
Each line ends with the local moment (μB).
Element x y z (fractional)
Ge (0.882, 0.750, 0.763)  0.01
La (0.939, 0.250, 0.878)  -0.13
Tl (0.609, 0.750, 0.218)  0.00
La (0.422, 0.750, 0.844)  -0.06
Ge (0.118, 0.250, 0.237)  0.01
La (0.061, 0.750, 0.122)  -0.13
La (0.578, 0.250, 0.156)  -0.06
La (0.500, 0.500, 0.500)  -0.03
O (0.731, 0.250, 0.462)  0.00
La (0.000, 0.000, 0.500)  -0.03
La (0.000, 0.500, 0.500)  -0.03
Tl (0.391, 0.250, 0.782)  0.00
La (0.500, 0.000, 0.500)  -0.03
O (0.269, 0.750, 0.538)  0.00


Record 15
# La2Tm4Ge3O2

An optimized crystal structure of La2Tm4Ge3O2 (PBE, Alexandria).

Values from the calculation:
Formation energy from raw total energies = -1.6328 eV per atom
V = 249.1 Å³ per cell
Raw total energy = -6.32 eV/atom

Unit cell a=4.534 b=4.534 c=12.534 alpha=100.42 beta=100.42 gamma=90.00
Each line ends with the local moment (μB).
Element x y z (fractional)
La (0.302, 0.302, 0.605)  0.19
Tm (0.921, 0.421, 0.843)  0.04
Ge (0.833, 0.833, 0.667)  -0.02
Ge (0.167, 0.167, 0.333)  -0.02
Tm (0.579, 0.079, 0.157)  0.04
La (0.698, 0.698, 0.395)  0.19
Tm (0.421, 0.921, 0.843)  0.04
Ge (0.000, 0.000, 0.000)  0.00
O (0.587, 0.587, 0.175)  0.00
Tm (0.079, 0.579, 0.157)  0.04
O (0.413, 0.413, 0.825)  0.00


Record 16
# La2YGeO

An optimized crystal structure of La2YGeO (PBE, Alexandria).

Values from the calculation:
Formation energy from raw total energies = -1.4252 eV per atom
V = 118.0 Å³ per cell
Raw total energy = -6.60 eV/atom

Unit cell a=5.025 b=5.025 c=4.673 alpha=90.00 beta=90.00 gamma=90.00
Element x y z (fractional)
Ge (0.500, 0.500, 0.500)
O (0.000, 0.000, 0.000)
La (0.500, 0.000, 0.000)
Y (0.000, 0.000, 0.500)
La (0.000, 0.500, 0.000)


Record 17
# LaZnGeO2

An optimized crystal structure of LaZnGeO2 (PBE, Alexandria).

Values from the calculation:
Formation energy from raw total energies = -0.7475 eV per atom
V = 125.3 Å³ per cell
Raw total energy = -4.89 eV/atom

Unit cell a=4.301 b=6.774 c=4.301 alpha=90.00 beta=90.00 gamma=90.00
Element x y z (fractional)
Ge (0.500, 0.500, 0.500)
O (0.500, 0.000, 0.000)
La (0.000, 0.000, 0.000)
Zn (0.000, 0.500, 0.000)
O (0.000, 0.000, 0.500)


Record 18
# LaZnGeO

An optimized crystal structure of LaZnGeO (PBE, Alexandria).

Values from the calculation:
Formation energy from raw total energies = -1.6141 eV per atom
V = 155.5 Å³ per cell
Raw total energy = -5.56 eV/atom

Unit cell a=4.153 b=4.153 c=9.016 alpha=90.00 beta=90.00 gamma=90.00
Element x y z (fractional)
Ge (0.500, 0.000, 0.169)
La (0.000, 0.500, 0.368)
Zn (0.500, 0.500, 0.000)
O (0.500, 0.500, 0.500)
La (0.500, 0.000, 0.632)
Zn (0.000, 0.000, 0.000)
Ge (0.000, 0.500, 0.831)
O (0.000, 0.000, 0.500)


Record 19
# LaZnGeO2

An optimized crystal structure of LaZnGeO2 (PBE, Alexandria).

Values from the calculation:
Formation energy from raw total energies = -0.8804 eV per atom
V = 81.8 Å³ per cell
Raw total energy = -5.03 eV/atom

Unit cell a=4.248 b=4.248 c=4.534 alpha=90.00 beta=90.00 gamma=90.00
Element x y z (fractional)
La (0.500, 0.500, 0.500)
O (0.000, 0.500, 0.000)
O (0.500, 0.000, 0.000)
Ge (0.000, 0.000, 0.000)
Zn (0.000, 0.000, 0.500)


Record 20
# La4ZnGeO

An optimized crystal structure of La4ZnGeO (PBE, Alexandria).

Values from the calculation:
Formation energy from raw total energies = -1.1038 eV per atom
V = 382.5 Å³ per cell
Raw total energy = -5.47 eV/atom

Unit cell a=6.880 b=6.904 c=8.757 alpha=90.00 beta=113.13 gamma=90.00
Element x y z (fractional)
La (0.000, 0.500, 0.500)
Ge (0.116, 0.250, 0.231)
La (0.500, 0.500, 0.500)
La (0.428, 0.750, 0.855)
Zn (0.381, 0.250, 0.763)
La (0.572, 0.250, 0.145)
La (0.928, 0.250, 0.856)
La (0.072, 0.750, 0.144)
La (0.000, 0.000, 0.500)
O (0.746, 0.250, 0.493)
Zn (0.619, 0.750, 0.237)
Ge (0.884, 0.750, 0.769)
O (0.254, 0.750, 0.507)
La (0.500, 0.000, 0.500)